Entry 1:
## CaYPb (PBE)

Data for a relaxed structure of CaYPb.

Output
Calculated formation energy in eV per atom: -0.2539
N(E_F) in states/eV per cell: 4.2
Density in g/cm3: 5.9

a = 5.3403 Å, b = 5.3403 Å, c = 3.8282 Å
α = 90.00°, β = 90.00°, γ = 120.00°
Space group P3m1 (No. 156)
One atom of each set of equivalent atoms:
Ca 0.0000 0.0000 0.0000 (multiplicity 1)
Y 0.3333 0.6667 0.5398 (multiplicity 1)
Pb 0.6667 0.3333 0.2958 (multiplicity 1)

***

Entry 2:
## CaY2Pb (PBE)

Data for a relaxed structure of CaY2Pb.

Output
Calculated formation energy in eV per atom: -0.1342
N(E_F) in states/eV per cell: 9.0
Density in g/cm3: 5.6

a = 7.0030 Å, b = 9.8477 Å, c = 3.6413 Å
α = 90.00°, β = 90.00°, γ = 90.00°
Space group Cmmm (No. 65)
One atom of each set of equivalent atoms:
Ca 0.0000 0.0000 0.0000 (multiplicity 2)
Y 0.2500 0.2500 0.5000 (multiplicity 4)
Pb 0.0000 0.5000 0.0000 (multiplicity 2)

***

Entry 3:
## CaYPb (PBE)

Data for a relaxed structure of CaYPb.

Output
Calculated formation energy in eV per atom: -0.2664
N(E_F) in states/eV per cell: 5.9
Density in g/cm3: 5.9

a = 3.6354 Å, b = 4.4555 Å, c = 11.7023 Å
α = 90.00°, β = 90.00°, γ = 90.00°
Space group Imm2 (No. 44)
One atom of each set of equivalent atoms:
Ca 0.0000 0.0000 0.0000 (multiplicity 2)
Y 0.0000 0.0000 0.2961 (multiplicity 2)
Pb 0.0000 0.0000 0.6566 (multiplicity 2)

***

Entry 4:
## CaY2Pb (PBE)

Data for a relaxed structure of CaY2Pb.

Output
Calculated formation energy in eV per atom: -0.1555
N(E_F) in states/eV per cell: 13.3
Density in g/cm3: 5.4

a = 3.6523 Å, b = 3.6523 Å, c = 33.8600 Å
α = 90.00°, β = 90.00°, γ = 120.00°
Space group R3m (No. 160, hexagonal axes)
One atom of each set of equivalent atoms:
Ca 0.0000 0.0000 0.0000 (multiplicity 3)
Y 0.0000 0.0000 0.5105 (multiplicity 3)
Y 0.0000 0.0000 0.7609 (multiplicity 3)
Pb 0.0000 0.0000 0.2553 (multiplicity 3)